{"formula": "Tb3PrTm6", "functional": "PBE-GGA", "state": "optimized geometry", "lattice_angstrom": [[-2.521, 0.477, 9.434], [2.275, -7.339, 6.045], [3.271, -0.581, 5.969]], "species": ["Tb", "Tb", "Tb", "Pr", "Tm", "Tm", "Tm", "Tm", "Tm", "Tm"], "fractional_positions": [[0.400, 0.400, 0.800], [0.647, 0.647, 0.060], [0.153, 0.153, 0.542], [0.900, 0.900, 0.301], [0.900, 0.568, 0.300], [0.232, 0.900, 0.300], [0.568, 0.232, 0.300], [0.071, 0.400, 0.799], [0.729, 0.071, 0.799], [0.400, 0.729, 0.799]], "e_tot_ry_per_atom": -0.3123, "total_magnetization_mub_per_atom": 0.000, "ef_kj_per_mol_fu": 290, "n_ef_per_ev_atom": 1.98}

***

{"formula": "Nd12YTm3", "functional": "PBE-GGA", "state": "optimized geometry", "lattice_angstrom": [[-0.137, 4.533, -2.434], [-3.324, -1.936, -3.420], [-15.663, 5.906, 11.882]], "species": ["Nd", "Nd", "Nd", "Nd", "Nd", "Nd", "Nd", "Nd", "Nd", "Nd", "Nd", "Nd", "Y", "Tm", "Tm", "Tm"], "fractional_positions": [[0.500, 0.500, 0.000], [0.500, 0.500, 0.251], [0.500, 0.500, 0.500], [0.500, 0.500, 0.749], [0.500, 0.000, 0.126], [0.500, 0.000, 0.375], [0.500, 0.000, 0.625], [0.500, 0.000, 0.874], [0.000, 0.500, 0.126], [0.000, 0.500, 0.375], [0.000, 0.500, 0.625], [0.000, 0.500, 0.874], [0.000, 0.000, 0.000], [0.000, 0.000, 0.251], [0.000, 0.000, 0.500], [0.000, 0.000, 0.749]], "e_tot_ry_per_atom": -0.3532, "total_magnetization_mub_per_atom": 0.000, "ef_kj_per_mol_fu": 20, "n_ef_per_ev_atom": 1.47}

***

{"formula": "PuNiGeH", "functional": "PBE-GGA", "state": "optimized geometry", "lattice_angstrom": [[4.245, 0.000, 0.000], [-2.122, 3.675, 0.006], [0.000, -0.006, 3.615]], "species": ["Pu", "Ni", "Ge", "H"], "fractional_positions": [[0.572, 0.144, 0.310], [0.239, 0.477, 0.810], [0.905, 0.810, 0.809], [0.239, 0.477, 0.310]], "e_tot_ry_per_atom": -0.5498, "total_magnetization_mub_per_atom": 1.201, "n_ef_per_ev_atom": 2.77}

***

{"formula": "Nd2PuTh", "functional": "PBE-GGA", "state": "optimized geometry", "lattice_angstrom": [[-2.708, 2.026, -1.028], [-3.136, -0.296, 1.603], [1.419, 9.232, 8.377]], "species": ["Nd", "Nd", "Th", "Pu"], "fractional_positions": [[0.089, 0.089, 0.732], [0.911, 0.911, 0.268], [0.500, 0.500, 0.500], [0.000, 0.000, 0.000]], "e_tot_ry_per_atom": -0.5560, "total_magnetization_mub_per_atom": 1.564, "ef_kj_per_mol_fu": 99, "n_ef_per_ev_atom": 2.88}

***

{"formula": "TbDy2ErP4", "functional": "PBE-GGA", "state": "optimized geometry", "lattice_angstrom": [[4.004, 0.000, 0.000], [0.000, 6.930, 0.121], [0.000, -2.424, 6.494]], "species": ["Tb", "Dy", "Dy", "Er", "P", "P", "P", "P"], "fractional_positions": [[0.500, 0.500, 0.000], [0.500, 0.000, 0.500], [0.000, 0.500, 0.500], [0.000, 0.000, 0.000], [0.500, 0.248, 0.249], [0.500, 0.752, 0.751], [0.000, 0.248, 0.750], [0.000, 0.752, 0.250]], "e_tot_ry_per_atom": -0.4864, "total_magnetization_mub_per_atom": 0.000, "ef_kj_per_mol_fu": -1245, "n_ef_per_ev_atom": 0.11}

***

{"formula": "TcAsPS2", "functional": "PBE-GGA", "state": "optimized geometry", "lattice_angstrom": [[-0.822, -1.674, 4.152], [1.438, -4.097, -1.367], [4.258, 1.069, 1.274]], "species": ["S", "S", "P", "As", "Tc"], "fractional_positions": [[0.000, 0.500, 0.000], [0.500, 0.000, 0.000], [0.000, 0.000, 0.500], [0.000, 0.000, 0.000], [0.500, 0.500, 0.500]], "e_tot_ry_per_atom": -0.3256, "total_magnetization_mub_per_atom": 0.000, "raw_formation_energy_ev_per_atom": 1.306, "n_ef_per_ev_atom": 0.81}